[1]
{"formula": "MgZnCdCo", "functional": "PBE", "state": "relaxed", "lattice": [[2.487, -3.661, 0.531], [1.006, -1.436, 4.098], [-1.848, -3.742, 1.567]], "species": ["Cd", "Co", "Mg", "Zn"], "fractional_positions": [[0.500, 0.500, 0.500], [0.750, 0.750, 0.750], [0.250, 0.250, 0.250], [0.000, 0.000, 0.000]], "vol_a3_per_atom": 15.66, "de_polymorph_mev_per_atom": 0.0, "sg": "F-43m", "total_energy_ev_per_atom": -2.60, "crystal_system": "cubic"}

=====

[2]
{"formula": "NaCdCoMo", "functional": "PBE", "state": "relaxed", "lattice": [[0.000, 3.136, 3.136], [3.136, 0.000, 3.136], [3.136, 3.136, 0.000]], "species": ["Cd", "Co", "Mo", "Na"], "fractional_positions": [[0.500, 0.500, 0.500], [0.250, 0.250, 0.250], [0.000, 0.000, 0.000], [0.750, 0.750, 0.750]], "vol_a3_per_atom": 15.43, "de_polymorph_mev_per_atom": 0.0, "sg": "F-43m", "total_energy_ev_per_atom": -4.35, "crystal_system": "cubic"}

=====

[3]
{"formula": "NaCdCoMo", "functional": "PBE", "state": "relaxed", "lattice": [[-1.625, -3.688, -2.061], [-2.034, -3.236, 2.424], [-4.471, -0.614, -0.346]], "species": ["Cd", "Co", "Mo", "Na"], "fractional_positions": [[0.000, 0.000, 0.000], [0.500, 0.500, 0.500], [0.250, 0.250, 0.250], [0.750, 0.750, 0.750]], "vol_a3_per_atom": 16.39, "de_polymorph_mev_per_atom": 96.0, "sg": "F-43m", "total_energy_ev_per_atom": -4.25, "crystal_system": "cubic"}

=====

[4]
{"formula": "CdCoMoPb", "functional": "PBE", "state": "relaxed", "lattice": [[0.000, 3.292, 3.292], [3.292, 0.000, 3.292], [3.292, 3.292, 0.000]], "species": ["Cd", "Co", "Mo", "Pb"], "fractional_positions": [[0.500, 0.500, 0.500], [0.750, 0.750, 0.750], [0.250, 0.250, 0.250], [0.000, 0.000, 0.000]], "vol_a3_per_atom": 17.84, "de_polymorph_mev_per_atom": 0.0, "sg": "F-43m", "total_energy_ev_per_atom": -4.90, "crystal_system": "cubic"}

=====

[5]
{"formula": "CdCoSiMo", "functional": "PBE", "state": "relaxed", "lattice": [[0.000, 3.070, 3.070], [3.070, 0.000, 3.070], [3.070, 3.070, 0.000]], "species": ["Cd", "Co", "Mo", "Si"], "fractional_positions": [[0.500, 0.500, 0.500], [0.750, 0.750, 0.750], [0.250, 0.250, 0.250], [0.000, 0.000, 0.000]], "vol_a3_per_atom": 14.47, "de_polymorph_mev_per_atom": 0.0, "sg": "F-43m", "total_energy_ev_per_atom": -5.72, "crystal_system": "cubic"}

=====

[6]
{"formula": "CdCoSnMo", "functional": "PBE", "state": "relaxed", "lattice": [[-2.151, -3.791, 1.371], [-3.503, -1.644, -2.429], [0.480, -3.881, -2.363]], "species": ["Cd", "Co", "Mo", "Sn"], "fractional_positions": [[0.500, 0.500, 0.500], [0.750, 0.750, 0.750], [0.250, 0.250, 0.250], [0.000, 0.000, 0.000]], "vol_a3_per_atom": 16.86, "de_polymorph_mev_per_atom": 0.0, "sg": "F-43m", "total_energy_ev_per_atom": -5.24, "crystal_system": "cubic"}